# PBE Ca2YTlOs, relaxed
# Total magnetization   0.00 μB per atom
# Density   5.8 g/cm3
# Formation energy   0.88 eV/atom
data_Ca2YTlOs
_cell_length_a 5.578
_cell_length_b 5.578
_cell_length_c 5.158
_cell_angle_alpha 90.00
_cell_angle_beta 90.00
_cell_angle_gamma 90.00
_symmetry_space_group_name_H-M 'P 4/m m m'
_symmetry_Int_Tables_number 123
_symmetry_space_group_name_Hall '-P 4 2'
loop_
_atom_site_label
_atom_site_type_symbol
_atom_site_fract_x
_atom_site_fract_y
_atom_site_fract_z
_atom_site_occupancy
Ca1 Ca 0.000 0.500 0.000 1
Y1 Y 0.000 0.000 0.500 1
Tl1 Tl 0.500 0.500 0.000 1
Os1 Os 0.500 0.500 0.500 1